DFT (PBE-GGA) results for a geometry-optimized Sm2Ni2Cl structure.

Cell and atoms, written as CIF:
```
data_Sm2Ni2Cl
_space_group_name_H-M_alt 'C 1 2/m 1'
_space_group_IT_number 12
_space_group_name_Hall '-C 2y'
_cell_length_a 6.9784
_cell_length_b 3.9932
_cell_length_c 8.2402
_cell_angle_alpha 90.00
_cell_angle_beta 105.29
_cell_angle_gamma 90.00
loop_
_atom_site_label
_atom_site_type_symbol
_atom_site_fract_x
_atom_site_fract_y
_atom_site_fract_z
Sm1 Sm 0.0897 0.0000 0.2259
Ni1 Ni 0.1667 0.5000 0.0048
Cl1 Cl 0.0000 0.5000 0.5000
```

## Properties
M_tot in μB/f.u.: 0.0
Uncorrected formation energy in eV per atom: -0.87

---

DFT (PBE-GGA) results for a geometry-optimized Ba2TlFe structure.

Cell and atoms, written as CIF:
```
data_Ba2TlFe
_space_group_name_H-M_alt 'F -4 3 m'
_space_group_IT_number 216
_space_group_name_Hall 'F -4 2 3'
_cell_length_a 7.9572
_cell_length_b 7.9572
_cell_length_c 7.9572
_cell_angle_alpha 90.00
_cell_angle_beta 90.00
_cell_angle_gamma 90.00
loop_
_atom_site_label
_atom_site_type_symbol
_atom_site_fract_x
_atom_site_fract_y
_atom_site_fract_z
Ba1 Ba 0.0000 0.0000 0.0000
Ba2 Ba 0.2500 0.2500 0.2500
Tl1 Tl 0.2500 0.2500 0.7500
Fe1 Fe 0.0000 0.0000 0.5000
```

## Properties
M_tot in μB/f.u.: 2.8
ΔE_f in eV per atom: 0.398

---

DFT (PBE-GGA) results for a geometry-optimized LiPmAl2Ga2 structure.

Cell and atoms, written as CIF:
```
data_LiPmAl2Ga2
_space_group_name_H-M_alt 'P -3 m 1'
_space_group_IT_number 164
_space_group_name_Hall '-P 3 2"'
_cell_length_a 4.3910
_cell_length_b 4.3910
_cell_length_c 6.8910
_cell_angle_alpha 90.00
_cell_angle_beta 90.00
_cell_angle_gamma 120.00
loop_
_atom_site_label
_atom_site_type_symbol
_atom_site_fract_x
_atom_site_fract_y
_atom_site_fract_z
Li1 Li 0.0000 0.0000 0.0000
Pm1 Pm 0.0000 0.0000 0.5000
Al1 Al 0.3333 0.6667 0.1899
Ga1 Ga 0.3333 0.6667 0.7643
```

## Properties
M_tot in μB/f.u.: 0.0
ΔE_f in eV per atom: -0.437